PBE NdHoSi2Ni2, optimized geometry; VASP energy = -5.97 eV per atom; total magnetization = 0.0 μB per formula unit
1.0
-2.953 1.508 -2.409
-1.419 -3.793 -0.635
-3.953 0.604 5.224
Ni Si Nd Ho
2 2 1 1
Direct
0.500 0.000 0.996 Ni
0.000 0.500 0.996 Ni
0.000 0.000 0.181 Si
0.500 0.500 0.809 Si
0.500 0.500 0.325 Nd
0.000 0.000 0.694 Ho